[1]
VASP calculation (PBE) on crystalline HoZr2Fe9 at its relaxed geometry.

```
HoZr2Fe9
1.0
4.783 0.000 1.424
2.180 4.258 1.424
0.081 0.050 8.476
Fe Zr Ho
9 2 1
direct
0.500 0.500 0.500
0.667 0.667 0.998
0.082 0.585 0.748
0.585 0.585 0.748
0.585 0.082 0.748
0.415 0.918 0.252
0.415 0.415 0.252
0.333 0.333 0.002
0.918 0.415 0.252
0.858 0.858 0.427
0.142 0.142 0.573
0.000 0.000 0.000
```

Computed properties:
Raw total energy in eV/atom: -8.348
Magnetization in μB/atom: 1.362
Symmetry: R-3m, No. 166
Volume in Å³ per atom: 14.3
Crystal system: trigonal

---

[2]
VASP calculation (PBE) on crystalline CoCu2H3 at its relaxed geometry.

```
CoCu2H3
1.0
3.612 0.000 0.000
0.000 5.365 -0.005
-1.806 -1.346 4.290
Co Cu H
2 4 6
direct
0.000 0.250 0.000
0.000 0.750 0.000
0.330 0.416 0.661
0.670 0.084 0.339
0.330 0.916 0.661
0.670 0.584 0.339
0.123 0.062 0.247
0.123 0.562 0.247
0.500 0.250 0.000
0.877 0.438 0.753
0.877 0.938 0.753
0.500 0.750 0.000
```

Computed properties:
Raw total energy in eV/atom: -4.141
Offset from the most stable computed form in meV/atom: 0
Magnetization in μB/atom: 0.000
Symmetry: C2/m, No. 12
Volume in Å³ per atom: 6.9
Crystal system: monoclinic

---

[3]
VASP calculation (PBE) on crystalline Cd3Au2 at its relaxed geometry.

```
Cd3Au2
1.0
6.302 -0.289 0.000
-3.982 4.893 0.000
-1.160 -2.302 6.973
Au Cd
4 6
direct
0.876 0.934 0.592
0.184 0.626 0.092
0.534 0.092 0.908
0.342 0.284 0.408
0.096 0.096 0.000
0.762 0.631 0.206
0.806 0.175 0.294
0.881 0.512 0.706
0.346 0.846 0.500
0.425 0.556 0.794
```

Computed properties:
Raw total energy in eV/atom: -1.987
Offset from the most stable computed form in meV/atom: 56
Magnetization in μB/atom: 0.000
Symmetry: Fdd2, No. 43
Volume in Å³ per atom: 20.7
Crystal system: orthorhombic

---

[4]
VASP calculation (PBE) on crystalline TaCO3 at its relaxed geometry.

```
TaCO3
1.0
-1.476 -2.078 -2.984
3.476 -1.753 -0.499
-1.069 -2.830 2.500
O Ta C
3 1 1
direct
0.000 0.500 0.000
0.500 0.000 0.000
0.000 0.000 0.500
0.000 0.000 0.000
0.500 0.500 0.500
```

Computed properties:
Raw total energy in eV/atom: -7.700
Magnetization in μB/atom: 0.200
Formation energy from raw total energies in kJ per mole of atoms: -49
Symmetry: Pm-3m, No. 221
Volume in Å³ per atom: 12.1
Crystal system: cubic

---

[5]
VASP calculation (PBE) on crystalline KLaCu3 at its relaxed geometry.

```
KLaCu3
1.0
5.530 0.000 0.000
0.000 5.530 0.000
0.000 0.000 5.530
La Cu K
1 3 1
direct
0.000 0.000 0.000
0.500 0.000 0.000
0.000 0.500 0.000
0.000 0.000 0.500
0.500 0.500 0.500
```

Computed properties:
Raw total energy in eV/atom: -2.990
Offset from the most stable computed form in meV/atom: 0
Magnetization in μB/atom: 0.000
Symmetry: Pm-3m, No. 221
Volume in Å³ per atom: 33.8
Crystal system: cubic

---

[6]
VASP calculation (PBE) on crystalline TbCe3B2N6 at its relaxed geometry.

```
TbCe3B2N6
1.0
5.607 0.000 0.000
-2.804 4.856 0.000
0.000 0.000 6.329
B N Ce Tb
2 6 3 1
direct
0.333 0.667 0.242
0.667 0.333 0.758
0.368 0.184 0.734
0.816 0.184 0.734
0.184 0.368 0.266
0.816 0.632 0.734
0.184 0.816 0.266
0.632 0.816 0.266
0.667 0.333 0.333
0.000 0.000 0.000
0.333 0.667 0.667
0.000 0.000 0.500
```

Computed properties:
Raw total energy in eV/atom: -8.293
Magnetization in μB/atom: 0.242
Formation energy from raw total energies in kJ per mole of atoms: -111
Symmetry: P-3m1, No. 164
Volume in Å³ per atom: 14.4
Crystal system: trigonal

---

[7]
VASP calculation (PBE) on crystalline LiCaCd3 at its relaxed geometry.

```
LiCaCd3
1.0
-0.471 5.567 -1.634
-3.760 -2.558 -7.632
-7.637 0.934 5.381
Li Cd Ca
4 12 4
direct
0.150 0.165 0.943
0.650 0.335 0.057
0.850 0.835 0.057
0.350 0.665 0.943
0.845 0.536 0.888
0.371 0.053 0.629
0.906 0.133 0.214
0.655 0.036 0.888
0.629 0.947 0.371
0.155 0.464 0.112
0.345 0.964 0.112
0.094 0.867 0.786
0.129 0.553 0.629
0.871 0.447 0.371
0.594 0.633 0.214
0.406 0.367 0.786
0.123 0.789 0.375
0.377 0.289 0.375
0.623 0.711 0.625
0.877 0.211 0.625
```

Computed properties:
Raw total energy in eV/atom: -1.586
Offset from the most stable computed form in meV/atom: 0
Magnetization in μB/atom: 0.000
Symmetry: P2_1/c, No. 14
Volume in Å³ per atom: 23.9
Crystal system: monoclinic

---

[8]
VASP calculation (PBE) on crystalline Pu2MnCd at its relaxed geometry.

```
Pu2MnCd
1.0
3.130 0.000 0.000
0.000 3.130 0.000
0.000 0.000 8.851
Pu Mn Cd
2 1 1
direct
0.000 0.000 0.792
0.000 0.000 0.208
0.500 0.500 0.000
0.500 0.500 0.500
```

Computed properties:
Raw total energy in eV/atom: -9.681
Offset from the most stable computed form in meV/atom: 0
Magnetization in μB/atom: 2.173
Symmetry: P4/mmm, No. 123
Volume in Å³ per atom: 21.7
Crystal system: tetragonal

---

[9]
VASP calculation (PBE) on crystalline NdGa12Ag4 at its relaxed geometry.

```
NdGa12Ag4
1.0
7.781 0.000 0.000
-2.594 7.336 0.000
-2.594 -3.668 6.353
Ga Nd Ag
12 1 4
direct
0.853 0.355 0.208
0.355 0.502 0.147
0.147 0.355 0.502
0.853 0.645 0.498
0.355 0.208 0.853
0.792 0.147 0.645
0.645 0.498 0.853
0.498 0.853 0.645
0.147 0.645 0.792
0.645 0.792 0.147
0.208 0.853 0.355
0.502 0.147 0.355
0.000 0.000 0.000
0.500 0.500 0.500
0.500 0.000 0.000
0.000 0.500 0.000
0.000 0.000 0.500
```

Computed properties:
Raw total energy in eV/atom: -3.071
Magnetization in μB/atom: 0.000
Symmetry: Im-3, No. 204
Volume in Å³ per atom: 21.3
Crystal system: cubic

---

[10]
VASP calculation (PBE) on crystalline AgAsPt2 at its relaxed geometry.

```
AgAsPt2
1.0
-0.104 7.971 -5.011
-2.874 7.169 -5.385
-2.102 8.669 -3.015
Pt Ag As
2 1 1
direct
0.003 0.003 0.003
0.253 0.253 0.253
0.502 0.502 0.502
0.742 0.742 0.742
```

Computed properties:
Raw total energy in eV/atom: -4.862
Magnetization in μB/atom: 0.000
Symmetry: R3m, No. 160
Volume in Å³ per atom: 17.0
Crystal system: trigonal

---

[11]
VASP calculation (PBE) on crystalline SrHf2Sb2 at its relaxed geometry.

```
SrHf2Sb2
1.0
-4.474 -2.983 -1.186
1.556 -3.796 3.674
-3.945 -1.044 4.720
Sr Hf Sb
1 2 2
direct
0.000 0.000 0.000
0.652 0.652 0.697
0.348 0.348 0.303
0.250 0.750 0.500
0.750 0.250 0.500
```

Computed properties:
Raw total energy in eV/atom: -6.156
Offset from the most stable computed form in meV/atom: 343
Magnetization in μB/atom: 0.308
Formation energy from raw total energies in kJ per mole of atoms: -18
Symmetry: I4/mmm, No. 139
Volume in Å³ per atom: 29.6
Crystal system: tetragonal

---

[12]
VASP calculation (PBE) on crystalline AlV4Ga3 at its relaxed geometry.

```
AlV4Ga3
1.0
5.010 0.000 0.000
0.000 5.252 0.000
0.000 0.000 8.639
V Ga Al
8 6 2
direct
0.221 0.362 0.250
0.907 0.867 0.500
0.721 0.638 0.750
0.410 0.136 0.500
0.721 0.638 0.250
0.407 0.133 0.000
0.910 0.864 0.000
0.221 0.362 0.750
0.214 0.866 0.251
0.214 0.866 0.749
0.714 0.134 0.249
0.417 0.628 0.000
0.917 0.372 0.500
0.714 0.134 0.751
0.413 0.631 0.500
0.913 0.369 0.000
```

Computed properties:
Raw total energy in eV/atom: -6.331
Magnetization in μB/atom: 0.000
Symmetry: Pmn2_1, No. 31
Volume in Å³ per atom: 14.2
Crystal system: orthorhombic